[1]
# KSrB5O9 (PBE, optimized geometry)
data_KSrB5O9
_chemical_formula_sum 'K4 Sr4 B20 O36'
_cell_length_a 6.752
_cell_length_b 8.109
_cell_length_c 14.404
_cell_angle_alpha 90.00
_cell_angle_beta 93.13
_cell_angle_gamma 90.00
_space_group_name_H-M_alt 'P 1 21/c 1'
_space_group_IT_number 14
_space_group_name_Hall '-P 2ybc'
loop_
_atom_site_label
_atom_site_type_symbol
_atom_site_fract_x
_atom_site_fract_y
_atom_site_fract_z
_atom_site_occupancy
K1 K 0.003 0.157 0.098 1
Sr1 Sr 0.421 0.013 0.740 1
B1 B 0.033 0.714 0.674 1
B2 B 0.116 0.009 0.306 1
B3 B 0.310 0.223 0.395 1
B4 B 0.330 0.696 0.566 1
B5 B 0.443 0.219 0.061 1
O1 O 0.054 0.604 0.197 1
O2 O 0.134 0.631 0.755 1
O3 O 0.138 0.675 0.588 1
O4 O 0.174 0.166 0.842 1
O5 O 0.281 0.051 0.361 1
O6 O 0.295 0.232 0.496 1
O7 O 0.369 0.678 0.473 1
O8 O 0.415 0.208 0.152 1
O9 O 0.480 0.734 0.632 1
# DOS(E_F)	0.00	states/eV/cell
# ΔE_f (raw)	-2567	meV/atom
# calculated total energy	-7.616	eV/atom



[2]
# KSr2B2O6 (PBE, optimized geometry)
data_KSr2B2O6
_chemical_formula_sum 'K1 Sr2 B2 O6'
_cell_length_a 5.738
_cell_length_b 5.829
_cell_length_c 6.571
_cell_angle_alpha 99.46
_cell_angle_beta 114.02
_cell_angle_gamma 106.93
_space_group_name_H-M_alt 'P -1'
_space_group_IT_number 2
_space_group_name_Hall '-P 1'
loop_
_atom_site_label
_atom_site_type_symbol
_atom_site_fract_x
_atom_site_fract_y
_atom_site_fract_z
_atom_site_occupancy
K1 K 0.000 0.000 0.000 1
Sr1 Sr 0.390 0.280 0.668 1
B1 B 0.285 0.743 0.732 1
O1 O 0.100 0.857 0.657 1
O2 O 0.296 0.625 0.900 1
O3 O 0.465 0.745 0.641 1
# DOS(E_F)	4.32	states/eV/cell
# ΔE_f (raw)	-2461	meV/atom
# calculated total energy	-6.785	eV/atom



[3]
# K3SrB2O6 (PBE, optimized geometry)
data_K3SrB2O6
_chemical_formula_sum 'K3 Sr1 B2 O6'
_cell_length_a 5.7737
_cell_length_b 5.7737
_cell_length_c 7.0425
_cell_angle_alpha 90.00
_cell_angle_beta 90.00
_cell_angle_gamma 120.00
_space_group_name_H-M_alt 'P -3 m 1'
_space_group_IT_number 164
_space_group_name_Hall '-P 3 2"'
loop_
_atom_site_label
_atom_site_type_symbol
_atom_site_fract_x
_atom_site_fract_y
_atom_site_fract_z
_atom_site_occupancy
K1 K 0.0000 0.0000 0.0000 1
K2 K 0.3333 0.6667 0.7511 1
Sr1 Sr 0.0000 0.0000 0.5000 1
B1 B 0.3333 0.6667 0.2746 1
O1 O 0.1949 0.3899 0.2748 1
# DOS(E_F)	5.06	states/eV/cell
# ΔE_f (raw)	-2212	meV/atom
# calculated total energy	-6.219	eV/atom



[4]
# KSr3B2O6 (PBE, optimized geometry)
data_KSr3B2O6
_chemical_formula_sum 'K1 Sr3 B2 O6'
_cell_length_a 5.4618
_cell_length_b 5.4618
_cell_length_c 8.0411
_cell_angle_alpha 90.00
_cell_angle_beta 90.00
_cell_angle_gamma 120.00
_space_group_name_H-M_alt 'P -3 m 1'
_space_group_IT_number 164
_space_group_name_Hall '-P 3 2"'
loop_
_atom_site_label
_atom_site_type_symbol
_atom_site_fract_x
_atom_site_fract_y
_atom_site_fract_z
_atom_site_occupancy
K1 K 0.0000 0.0000 0.0000 1
Sr1 Sr 0.0000 0.0000 0.5000 1
Sr2 Sr 0.3333 0.6667 0.2600 1
B1 B 0.3333 0.6667 0.7168 1
O1 O 0.1865 0.3730 0.7152 1
# DOS(E_F)	1.21	states/eV/cell
# ΔE_f (raw)	-2466	meV/atom
# calculated total energy	-6.570	eV/atom



[5]
# KSr4B3O9 (PBE, optimized geometry)
data_KSr4B3O9
_chemical_formula_sum 'K4 Sr16 B12 O36'
_cell_length_a 11.150
_cell_length_b 12.136
_cell_length_c 6.957
_cell_angle_alpha 90.00
_cell_angle_beta 90.00
_cell_angle_gamma 90.00
_space_group_name_H-M_alt 'A m a 2'
_space_group_IT_number 40
_space_group_name_Hall 'A 2 -2a'
loop_
_atom_site_label
_atom_site_type_symbol
_atom_site_fract_x
_atom_site_fract_y
_atom_site_fract_z
_atom_site_occupancy
K1 K 0.250 0.081 0.000 1
Sr1 Sr 0.000 0.000 0.549 1
Sr2 Sr 0.030 0.286 0.404 1
Sr3 Sr 0.250 0.354 0.772 1
B1 B 0.000 0.000 0.120 1
B2 B 0.250 0.124 0.576 1
B3 B 0.250 0.328 0.191 1
O1 O 0.000 0.000 0.921 1
O2 O 0.027 0.403 0.720 1
O3 O 0.142 0.166 0.654 1
O4 O 0.142 0.312 0.091 1
O5 O 0.250 0.044 0.437 1
O6 O 0.250 0.353 0.385 1
# DOS(E_F)	0.00	states/eV/cell
# ΔE_f (raw)	-2758	meV/atom
# calculated total energy	-7.022	eV/atom



[6]
# K2SrB2O6 (PBE, optimized geometry)
data_K2SrB2O6
_chemical_formula_sum 'K2 Sr1 B2 O6'
_cell_length_a 5.8580
_cell_length_b 5.8580
_cell_length_c 6.6245
_cell_angle_alpha 90.00
_cell_angle_beta 90.00
_cell_angle_gamma 120.00
_space_group_name_H-M_alt 'P -3'
_space_group_IT_number 147
_space_group_name_Hall '-P 3'
loop_
_atom_site_label
_atom_site_type_symbol
_atom_site_fract_x
_atom_site_fract_y
_atom_site_fract_z
_atom_site_occupancy
K1 K 0.3333 0.6667 0.3323 1
Sr1 Sr 0.0000 0.0000 0.0000 1
B1 B 0.3333 0.6667 0.7859 1
O1 O 0.1632 0.4009 0.7800 1
# ΔE_f (raw)	-2111	meV/atom
# calculated total energy	-6.382	eV/atom



[7]
# KTaB2O6 (PBE, optimized geometry)
data_KTaB2O6
_chemical_formula_sum 'K2 Ta2 B4 O12'
_cell_length_a 7.521
_cell_length_b 3.952
_cell_length_c 9.505
_cell_angle_alpha 90.00
_cell_angle_beta 90.00
_cell_angle_gamma 90.00
_space_group_name_H-M_alt 'P m n 21'
_space_group_IT_number 31
_space_group_name_Hall 'P 2ac -2'
loop_
_atom_site_label
_atom_site_type_symbol
_atom_site_fract_x
_atom_site_fract_y
_atom_site_fract_z
_atom_site_occupancy
K1 K 0.000 0.014 0.000 1
Ta1 Ta 0.000 0.333 0.610 1
B1 B 0.165 0.513 0.322 1
O1 O 0.000 0.540 0.252 1
O2 O 0.000 0.863 0.610 1
O3 O 0.182 0.380 0.453 1
O4 O 0.191 0.363 0.752 1
# distance to the lowest polymorph of the same formula	0	meV per atom
# DOS(E_F)	0.00	states/eV/cell
# ΔE_f (raw)	-2587	meV/atom
# calculated total energy	-8.193	eV/atom



[8]
# KTaBO5 (PBE, optimized geometry)
data_KTaBO5
_chemical_formula_sum 'K4 Ta4 B4 O20'
_cell_length_a 6.822
_cell_length_b 8.846
_cell_length_c 7.392
_cell_angle_alpha 90.00
_cell_angle_beta 116.79
_cell_angle_gamma 90.00
_space_group_name_H-M_alt 'C 1 2/c 1'
_space_group_IT_number 15
_space_group_name_Hall '-C 2yc'
loop_
_atom_site_label
_atom_site_type_symbol
_atom_site_fract_x
_atom_site_fract_y
_atom_site_fract_z
_atom_site_occupancy
K1 K 0.000 0.084 0.250 1
Ta1 Ta 0.250 0.250 0.000 1
B1 B 0.000 0.442 0.250 1
O1 O 0.000 0.189 0.750 1
O2 O 0.061 0.339 0.123 1
O3 O 0.193 0.461 0.880 1
# DOS(E_F)	10.90	states/eV/cell
# ΔE_f (raw)	-2184	meV/atom
# calculated total energy	-7.736	eV/atom



> Among the records above, which one has the highest calculated total energy?

K3SrB2O6